No. 1
Computed, not measured: a relaxed structure of Na2Ce2F7 at the PBE-GGA level of DFT.

a b c (Å): 3.607 12.410 7.439
angles (deg): 90.00 90.00 90.00
Space group Imm2 (No. 44)
Unique sites:
Na 0.000 0.247 0.000
Ce 0.000 0.000 0.301
Ce 0.000 0.500 0.245
F 0.000 0.000 0.968
F 0.000 0.107 0.573
F 0.000 0.321 0.342
F 0.000 0.377 0.737

Output
- excess energy over the best structure of this formula in the dataset (eV/atom) = 0.0000

=====

No. 2
Computed, not measured: a relaxed structure of Na6CeF12 at the PBE-GGA level of DFT.

a b c (Å): 7.765 7.765 7.765
angles (deg): 90.00 90.00 90.00
Space group Im-3 (No. 204)
Unique sites:
Na 0.000 0.332 0.500
Ce 0.000 0.000 0.000
F 0.000 0.153 0.283

Output
- excess energy over the best structure of this formula in the dataset (eV/atom) = 0.2084

=====

No. 3
Computed, not measured: a relaxed structure of Na5Ce2F12 at the PBE-GGA level of DFT.

a b c (Å): 12.745 8.169 5.873
angles (deg): 90.00 116.91 90.00
Space group C2/m (No. 12)
Unique sites:
Na 0.000 0.000 0.000
Na 0.203 0.500 0.168
Na 0.238 0.000 0.286
Ce 0.000 0.252 0.500
F 0.089 0.500 0.744
F 0.095 0.000 0.438
F 0.125 0.169 0.903
F 0.139 0.326 0.390

=====

No. 4
Computed, not measured: a relaxed structure of Na6CeF12 at the PBE-GGA level of DFT.

a b c (Å): 10.3173 10.3173 9.4349
angles (deg): 90.00 90.00 120.00
Space group R-3 (No. 148, hexagonal axes)
Unique sites:
Na 0.0512 0.2562 0.1429
Ce 0.0000 0.0000 0.5000
F 0.0406 0.1991 0.3852
F 0.0508 0.2309 0.8934

Output
- excess energy over the best structure of this formula in the dataset (eV/atom) = 0.0000

=====

No. 5
Computed, not measured: a relaxed structure of Na2CeF4 at the PBE-GGA level of DFT.

a b c (Å): 4.667 4.667 14.510
angles (deg): 90.00 90.00 90.00
Space group I4/mmm (No. 139)
Unique sites:
Na 0.000 0.000 0.190
Ce 0.000 0.000 0.500
F 0.000 0.000 0.342
F 0.000 0.500 0.000

=====

No. 6
Computed, not measured: a relaxed structure of NaCeTiNbO6F at the PBE-GGA level of DFT.

a b c (Å): 7.382 7.382 10.481
angles (deg): 90.00 90.00 90.00
Space group P4_122 (No. 91)
Unique sites:
Na 0.000 0.218 0.000
Ce 0.228 0.500 0.750
Ti 0.264 0.500 0.250
Nb 0.000 0.259 0.500
O 0.056 0.448 0.367
O 0.063 0.063 0.375
O 0.251 0.274 0.572
O 0.459 0.459 0.375
F 0.238 0.238 0.875

Output
- excess energy over the best structure of this formula in the dataset (eV/atom) = 0.0000

=====

No. 7
Computed, not measured: a relaxed structure of NaCeTiNbO6F at the PBE-GGA level of DFT.

a b c (Å): 7.230 7.595 10.353
angles (deg): 90.00 90.00 90.00
Space group Imma (No. 74)
Unique sites:
Na 0.250 0.250 0.250
Ce 0.000 0.000 0.000
Ti 0.250 0.250 0.750
Nb 0.000 0.000 0.500
O 0.000 0.250 0.433
O 0.000 0.250 0.828
O 0.206 0.060 0.623
F 0.000 0.250 0.130

Output
- excess energy over the best structure of this formula in the dataset (eV/atom) = 0.0047

=====

Number 1: formation energy without anion corrections -36.6 eV per formula unit, total magnetization 3.0 μB/f.u.. Number 2: formation energy without anion corrections -47.2 eV per formula unit, total magnetization 2.1 μB/f.u.. Number 3: formation energy without anion corrections -62.2 eV per formula unit, total magnetization 1.0 μB/f.u.. Number 4: formation energy without anion corrections -51.2 eV per formula unit, total magnetization 2.0 μB/f.u.. Number 5: formation energy without anion corrections -20.0 eV per formula unit, total magnetization 1.1 μB/f.u.. Number 6: formation energy without anion corrections -32.3 eV per formula unit, total magnetization 1.1 μB/f.u.. Number 7: formation energy without anion corrections -32.2 eV per formula unit, total magnetization 1.0 μB/f.u..